Computed, not measured: a relaxed AcBiRh crystal at the PBE level of DFT.

a = 7.0614 Å, b = 7.0614 Å, c = 7.0614 Å
α = 90.00°, β = 90.00°, γ = 90.00°
Space group F-43m (No. 216)
Inequivalent atoms, fractional coordinates:
Ac  0.0000  0.0000  0.0000 x4
Bi  0.0000  0.0000  0.5000 x4
Rh  0.2500  0.2500  0.2500 x4

Computed properties:
E_form ... -1.91 eV/f.u.
Size of the total moment ... 0.01 μB per cell
Energy above the most stable polymorph in this dataset ... 0.031 eV/atom
Density of states at the Fermi level ... 7.55 states/eV/f.u.